Entry 1:
# Ce2SiNi3Ge4 | Alexandria via LeMat-Bulk | PBE | optimized geometry
data_Ce2SiNi3Ge4
_cell_length_a 4.197
_cell_length_b 4.197
_cell_length_c 9.640
_cell_angle_alpha 90.00
_cell_angle_beta 90.00
_cell_angle_gamma 90.00
_symmetry_space_group_name_H-M 'P -4 m 2'
_symmetry_Int_Tables_number 115
loop_
_symmetry_equiv_pos_as_xyz
'x,y,z'
'y,-x,-z'
'-x,-y,z'
'-y,x,-z'
'-x,y,z'
'-y,-x,-z'
'x,-y,z'
'y,x,-z'
loop_
_atom_site_label
_atom_site_type_symbol
_atom_site_fract_x
_atom_site_fract_y
_atom_site_fract_z
Ce1 Ce 0.000 0.500 0.247
Si1 Si 0.000 0.000 0.500
Ni1 Ni 0.000 0.500 0.880
Ni2 Ni 0.500 0.500 0.500
Ge1 Ge 0.000 0.000 0.000
Ge2 Ge 0.000 0.500 0.639
Ge3 Ge 0.500 0.500 0.000
# Uncorrected formation energy   -608 meV per atom

Entry 2:
# Na2Zn2InAu5 | Alexandria via LeMat-Bulk | PBE | optimized geometry
data_Na2Zn2InAu5
_cell_length_a 10.141
_cell_length_b 10.141
_cell_length_c 3.863
_cell_angle_alpha 90.00
_cell_angle_beta 90.00
_cell_angle_gamma 90.00
_symmetry_space_group_name_H-M 'P 4/m b m'
_symmetry_Int_Tables_number 127
_symmetry_space_group_name_Hall '-P 4 2ab'
loop_
_atom_site_label
_atom_site_type_symbol
_atom_site_fract_x
_atom_site_fract_y
_atom_site_fract_z
Na1 Na 0.176 0.324 0.000
Zn1 Zn 0.122 0.622 0.000
In1 In 0.000 0.000 0.000
Au1 Au 0.000 0.500 0.500
Au2 Au 0.061 0.794 0.500
# Formation enthalpy at 0 K   -0.26 eV per atom

Entry 3:
# Ca2BiW | Alexandria via LeMat-Bulk | PBE | optimized geometry
data_Ca2BiW
_cell_length_a 8.597
_cell_length_b 8.597
_cell_length_c 5.894
_cell_angle_alpha 90.00
_cell_angle_beta 90.00
_cell_angle_gamma 90.00
_symmetry_space_group_name_H-M 'I -4 2 d'
_symmetry_Int_Tables_number 122
_symmetry_space_group_name_Hall 'I -4 2bw'
loop_
_atom_site_label
_atom_site_type_symbol
_atom_site_fract_x
_atom_site_fract_y
_atom_site_fract_z
Ca1 Ca 0.226 0.250 0.125
Bi1 Bi 0.000 0.000 0.500
W1 W 0.000 0.000 0.000
# Formation enthalpy at 0 K   0.87 eV per atom